VASP calculation (PBE) on ZnSe2Br after structural relaxation.

Structure (extended XYZ):
```
4
Lattice="1.8474 0.0000 11.3940 -0.9237 1.5999 11.3940 -0.9237 -1.5999 11.3940" Properties=species:S:1:pos:R:3 pbc="T T T"
Zn 0.0000 0.0000 0.0000
Se 0.0000 0.0000 2.2984
Se 0.0000 0.0000 31.8837
Br 0.0000 0.0000 17.0911
```

Calculated values
symmetry = R-3m
VASP energy = -8.9 eV for the cell shown

---

VASP calculation (PBE) on Mg9Zr4Pb11 after structural relaxation.

Structure (extended XYZ):
```
24
Lattice="-1.9631 -0.1281 -2.7835 4.9151 -12.9374 -2.8711 -11.5541 0.2156 8.1385" Properties=species:S:1:pos:R:3 pbc="T T T"
Pb -4.4310 -0.4315 3.1448
Mg -7.4445 -1.9976 3.2551
Pb -4.6608 -8.9313 3.6980
Pb -1.9781 -3.7905 1.5695
Pb -8.8430 -1.9496 6.3262
Mg -1.1575 -10.8522 -0.7713
Mg -3.0835 -0.7397 0.1217
Mg -4.3010 -6.4249 1.2419
Pb -2.2079 -12.2903 2.1226
Pb 2.2041 -10.7722 -1.0588
Mg -8.8565 -4.7035 4.3755
Zr -4.9254 -3.0092 1.5251
Zr -7.0743 -7.1271 3.2301
Pb -8.1451 -7.5486 6.0916
Mg -7.9880 -10.1379 4.0130
Pb -1.2361 -8.0248 1.2410
Pb -5.4029 -4.6970 4.0265
Mg 0.2546 -8.1464 -1.8916
Pb 1.5062 -5.1732 -0.8242
Zr -1.5277 -5.7228 -0.7462
Mg -0.6140 -2.7119 -1.5291
Zr -3.6766 -9.8406 0.9588
Pb 0.0000 0.0000 0.0000
Mg -5.5185 -12.1102 2.3622
```

Calculated values
symmetry = Cmmm
E_form = -0.034 eV/atom
VASP energy = -90.2 eV for the cell shown

---

VASP calculation (PBE) on CoSbMo2 after structural relaxation.

Structure (extended XYZ):
```
4
Lattice="4.9743 0.0113 0.0002 3.9321 3.0467 0.0002 1.1019 0.3783 4.1793" Properties=species:S:1:pos:R:3 pbc="T T T"
Mo 5.0261 1.7257 2.0127
Mo 8.8845 3.0505 0.0776
Co 2.5021 0.8591 1.0449
Sb 7.5063 2.5773 3.1348
```

Calculated values
symmetry = C2/m
VASP energy = -32.0 eV for the cell shown

---

VASP calculation (PBE) on RbLaNO2 after structural relaxation.

Structure (extended XYZ):
```
5
Lattice="-4.6091 0.3952 -0.0455 -0.1474 -1.2052 4.4641 0.4157 5.0051 1.3650" Properties=species:S:1:pos:R:3 pbc="T T T"
O -0.0737 -0.6026 2.2320
N 0.2079 2.5026 0.6825
La 0.0000 0.0000 0.0000
Rb -2.1704 2.0976 2.8918
O -2.3045 0.1976 -0.0227
```

Calculated values
symmetry = P4/mmm
VASP energy = -29.0 eV for the cell shown

---

VASP calculation (PBE) on CrSbSe2N after structural relaxation.

Structure (extended XYZ):
```
5
Lattice="-0.3256 2.8100 4.5642 -5.0686 1.3252 -1.1774 -1.2604 -3.1679 1.8605" Properties=species:S:1:pos:R:3 pbc="T T T"
Se -2.5343 0.6626 -0.5887
Cr -3.3273 0.4836 2.6236
Se -0.1628 1.4050 2.2821
Sb 0.0000 0.0000 0.0000
N -0.6302 -1.5840 0.9302
```

Calculated values
symmetry = P4/mmm
VASP energy = -24.5 eV for the cell shown

---

VASP calculation (PBE) on KInAs after structural relaxation.

Structure (extended XYZ):
```
6
Lattice="-0.8726 -4.0124 1.5626 3.4721 -1.2986 4.7636 -4.3341 3.2134 5.7745" Properties=species:S:1:pos:R:3 pbc="T T T"
In 2.0011 -3.4598 5.3918
K -0.6672 -0.9013 4.3129
As 2.1263 -0.8010 6.1136
K -0.2644 0.5485 8.1855
As -3.0579 0.4483 6.3848
In -3.8054 -0.9053 8.6692
```

Calculated values
symmetry = P-1
E_form = -0.430 eV/atom
VASP energy = -19.5 eV for the cell shown

---

VASP calculation (PBE) on LaYPd after structural relaxation.

Structure (extended XYZ):
```
3
Lattice="-3.5055 0.7446 0.5179 -0.7756 -1.3894 -3.2526 1.3126 -5.4184 4.0171" Properties=species:S:1:pos:R:3 pbc="T T T"
Pd -2.4344 -2.3594 -0.4271
Y -0.4922 -3.4126 1.5751
La -0.0420 -0.2912 0.1344
```

Calculated values
symmetry = I4mm
E_form = -0.507 eV/atom
VASP energy = -18.1 eV for the cell shown

---

VASP calculation (PBE) on Ba3HoHg4 after structural relaxation.

Structure (extended XYZ):
```
8
Lattice="-1.3651 3.7463 -0.4565 -2.9941 -0.7795 2.5563 9.5411 5.0250 12.7073" Properties=species:S:1:pos:R:3 pbc="T T T"
Hg 8.6154 4.5375 11.4745
Ba 5.1186 5.3271 10.7700
Hg 0.9256 0.4875 1.2328
Ba 0.0633 2.6646 4.0371
Hg 3.5214 1.8546 4.6900
Ba 2.5909 3.9959 7.4035
Hg 6.0196 3.1704 8.0173
Ho -2.1796 1.4834 1.0499
```

Calculated values
symmetry = P4/mmm
E_form = -0.481 eV/atom
VASP energy = -15.4 eV for the cell shown

---

Among the records above, which one has the lowest VASP energy? Mg9Zr4Pb11

---

Which of these has the highest VASP energy? ZnSe2Br